Compound: La6CdNi2
Source: the Alexandria database
Functional: PBE
Structure: optimized geometry

Computed properties:
total magnetic moment: 0.00 μB/cell
energy of formation: -232 meV per atom
DOS at the Fermi energy: 20.00 states/eV per cell

Unit cell a=8.866 b=8.866 c=8.866 alpha=114.13 beta=108.42 gamma=105.97
Atoms (fractional coordinates):
La: 0.021 0.225 0.796
La: 0.179 0.298 0.476
La: 0.179 0.702 0.881
La: 0.325 0.015 0.690
La: 0.325 0.635 0.310
La: 0.429 0.225 0.204
La: 0.571 0.775 0.796
La: 0.675 0.365 0.690
La: 0.675 0.985 0.310
La: 0.821 0.298 0.119
La: 0.821 0.702 0.524
La: 0.979 0.775 0.204
Cd: 0.000 0.000 0.000
Cd: 0.500 0.500 0.000
Ni: 0.124 0.624 0.500
Ni: 0.357 0.000 0.357
Ni: 0.643 0.000 0.643
Ni: 0.876 0.376 0.500

***

Compound: Rb2SmGe2S6
Source: the Alexandria database
Functional: PBE
Structure: optimized geometry

Computed properties:
total magnetic moment: 0.00 μB/cell
VASP energy: -50.6 eV for the cell shown
DOS at the Fermi energy: 6.58 states/eV per cell

Unit cell a=6.743 b=6.743 c=8.476 alpha=104.51 beta=104.51 gamma=66.64
Atoms (fractional coordinates):
Rb: 0.192 0.192 0.130
Rb: 0.808 0.808 0.870
Sm: 0.000 0.000 0.500
Ge: 0.458 0.458 0.629
Ge: 0.542 0.542 0.371
S: 0.211 0.711 0.237
S: 0.253 0.253 0.542
S: 0.289 0.789 0.763
S: 0.711 0.211 0.237
S: 0.747 0.747 0.458
S: 0.789 0.289 0.763

***

Compound: Ac2Pr2Cd
Source: the Alexandria database
Functional: PBE
Structure: optimized geometry

Computed properties:
total magnetic moment: 0.00 μB/cell
ΔE to the lowest computed polymorph: 87.9 meV per atom
energy of formation: -15 meV per atom
DOS at the Fermi energy: 11.47 states/eV per cell

Unit cell a=6.782 b=6.782 c=8.975 alpha=105.96 beta=105.96 gamma=98.29
Atoms (fractional coordinates):
Ac: 0.111 0.732 0.774
Ac: 0.268 0.889 0.226
Ac: 0.732 0.111 0.774
Ac: 0.889 0.268 0.226
Pr: 0.218 0.218 0.623
Pr: 0.347 0.347 0.076
Pr: 0.653 0.653 0.924
Pr: 0.782 0.782 0.377
Cd: 0.357 0.643 0.500
Cd: 0.643 0.357 0.500

***

Compound: SnAsN2
Source: the Alexandria database
Functional: PBE
Structure: optimized geometry

Computed properties:
total magnetic moment: 0.00 μB/cell
ΔE to the lowest computed polymorph: 241.9 meV per atom
DOS at the Fermi energy: 1.57 states/eV per cell

Unit cell a=6.594 b=6.594 c=6.594 alpha=137.75 beta=137.75 gamma=61.28
Atoms (fractional coordinates):
Sn: 0.000 0.000 0.000
Sn: 0.750 0.250 0.500
As: 0.250 0.750 0.500
As: 0.500 0.500 0.000
N: 0.127 0.625 0.002
N: 0.375 0.377 0.502
N: 0.623 0.125 0.998
N: 0.875 0.873 0.498

***

Compound: Pm5Pt2Pb2
Source: the Alexandria database
Functional: PBE
Structure: optimized geometry

Computed properties:
total magnetic moment: 0.00 μB/cell
energy of formation: -772 meV per atom
DOS at the Fermi energy: 13.19 states/eV per cell

Unit cell a=9.069 b=9.069 c=7.549 alpha=90.00 beta=90.00 gamma=57.22
Atoms (fractional coordinates):
Pm: 0.000 0.000 0.000
Pm: 0.059 0.699 0.651
Pm: 0.199 0.559 0.151
Pm: 0.301 0.941 0.651
Pm: 0.441 0.801 0.151
Pm: 0.500 0.500 0.500
Pm: 0.559 0.199 0.849
Pm: 0.699 0.059 0.349
Pm: 0.801 0.441 0.849
Pm: 0.941 0.301 0.349
Pt: 0.123 0.877 0.363
Pt: 0.377 0.623 0.863
Pt: 0.623 0.377 0.137
Pt: 0.877 0.123 0.637
Pb: 0.213 0.213 0.000
Pb: 0.287 0.287 0.500
Pb: 0.713 0.713 0.500
Pb: 0.787 0.787 0.000

***

Compound: Pr3Dy2Rh2
Source: the Alexandria database
Functional: PBE
Structure: optimized geometry

Computed properties:
total magnetic moment: 0.00 μB/cell
energy of formation: -473 meV per atom
DOS at the Fermi energy: 6.34 states/eV per cell

Unit cell a=6.471 b=6.471 c=9.051 alpha=113.89 beta=113.89 gamma=35.27
Atoms (fractional coordinates):
Pr: 0.000 0.000 0.000
Pr: 0.113 0.113 0.426
Pr: 0.887 0.887 0.574
Dy: 0.328 0.328 0.186
Dy: 0.672 0.672 0.814
Rh: 0.313 0.313 0.759
Rh: 0.687 0.687 0.241

***

Compound: CuOsBrCl6
Source: the Alexandria database
Functional: PBE
Structure: optimized geometry

Computed properties:
total magnetic moment: 1.11 μB/cell
VASP energy: -30.6 eV for the cell shown
DOS at the Fermi energy: 8.06 states/eV per cell

Unit cell a=6.202 b=6.202 c=7.596 alpha=90.07 beta=90.07 gamma=119.95
Atoms (fractional coordinates):
Cu: 0.000 0.000 0.000
Os: 0.333 0.667 0.000
Br: 0.666 0.334 0.500
Cl: 0.035 0.348 0.175
Cl: 0.035 0.687 0.825
Cl: 0.313 0.348 0.825
Cl: 0.313 0.965 0.175
Cl: 0.652 0.687 0.175
Cl: 0.652 0.965 0.825

***

Compound: Na3Ag2Br2Cl3
Source: the Alexandria database
Functional: PBE
Structure: optimized geometry

Computed properties:
total magnetic moment: 0.00 μB/cell
VASP energy: -30.1 eV for the cell shown
DOS at the Fermi energy: 0.00 states/eV per cell

Unit cell a=16.403 b=16.403 c=16.403 alpha=165.65 beta=165.65 gamma=20.34
Atoms (fractional coordinates):
Na: 0.000 0.000 0.000
Na: 0.415 0.415 0.000
Na: 0.585 0.585 0.000
Ag: 0.250 0.750 0.500
Ag: 0.750 0.250 0.500
Br: 0.308 0.308 0.000
Br: 0.692 0.692 0.000
Cl: 0.088 0.088 0.000
Cl: 0.500 0.500 0.000
Cl: 0.912 0.912 0.000

***

Compound: SmMg2Sn
Source: the Alexandria database
Functional: PBE
Structure: optimized geometry

Computed properties:
total magnetic moment: 0.00 μB/cell
ΔE to the lowest computed polymorph: 554.7 meV per atom
energy of formation: 118 meV per atom
DOS at the Fermi energy: 3.03 states/eV per cell

Unit cell a=11.536 b=11.536 c=11.536 alpha=16.63 beta=16.63 gamma=16.63
Atoms (fractional coordinates):
Sm: 0.000 0.000 0.000
Mg: 0.095 0.095 0.095
Mg: 0.905 0.905 0.905
Sn: 0.500 0.500 0.500

***

Compound: Dy3Sc5
Source: the Alexandria database
Functional: PBE
Structure: optimized geometry

Computed properties:
total magnetic moment: 0.00 μB/cell
ΔE to the lowest computed polymorph: 25.4 meV per atom
energy of formation: 56 meV per atom
DOS at the Fermi energy: 14.73 states/eV per cell

Unit cell a=3.386 b=3.386 c=18.835 alpha=90.00 beta=90.00 gamma=90.00
Atoms (fractional coordinates):
Dy: 0.000 0.000 0.000
Dy: 0.500 0.500 0.138
Dy: 0.500 0.500 0.862
Sc: 0.000 0.000 0.266
Sc: 0.000 0.000 0.500
Sc: 0.000 0.000 0.734
Sc: 0.500 0.500 0.383
Sc: 0.500 0.500 0.617

***

Compound: Sr6P2I3O
Source: the Alexandria database
Functional: PBE
Structure: optimized geometry

Computed properties:
total magnetic moment: 0.00 μB/cell
VASP energy: -48.9 eV for the cell shown
DOS at the Fermi energy: 3.31 states/eV per cell

Unit cell a=7.489 b=7.489 c=8.221 alpha=98.74 beta=98.74 gamma=119.91
Atoms (fractional coordinates):
Sr: 0.063 0.374 0.188
Sr: 0.250 0.250 0.809
Sr: 0.374 0.063 0.188
Sr: 0.626 0.937 0.812
Sr: 0.750 0.750 0.191
Sr: 0.937 0.626 0.812
P: 0.333 0.667 0.000
P: 0.667 0.333 0.000
I: 0.170 0.830 0.500
I: 0.500 0.500 0.500
I: 0.830 0.170 0.500
O: 0.000 0.000 0.000

***

Compound: CdInH2
Source: the Alexandria database
Functional: PBE
Structure: optimized geometry

Computed properties:
total magnetic moment: 0.00 μB/cell
ΔE to the lowest computed polymorph: 517.9 meV per atom
DOS at the Fermi energy: 0.81 states/eV per cell

Unit cell a=4.391 b=4.391 c=4.391 alpha=60.00 beta=60.00 gamma=60.00
Atoms (fractional coordinates):
Cd: 0.000 0.000 0.000
In: 0.500 0.500 0.500
H: 0.250 0.250 0.250
H: 0.750 0.750 0.750

***

Compound: Zr2PtN
Source: the Alexandria database
Functional: PBE
Structure: optimized geometry

Computed properties:
total magnetic moment: 0.00 μB/cell
VASP energy: -70.8 eV for the cell shown
DOS at the Fermi energy: 12.92 states/eV per cell

Unit cell a=5.804 b=5.804 c=5.804 alpha=115.05 beta=115.05 gamma=98.82
Atoms (fractional coordinates):
Zr: 0.052 0.625 0.927
Zr: 0.375 0.302 0.427
Zr: 0.698 0.125 0.073
Zr: 0.875 0.948 0.573
Pt: 0.250 0.750 0.500
Pt: 0.500 0.500 0.000
N: 0.000 0.000 0.000
N: 0.750 0.250 0.500

***

Compound: SmSBrO4
Source: the Alexandria database
Functional: PBE
Structure: optimized geometry

Computed properties:
total magnetic moment: 0.00 μB/cell
VASP energy: -89.4 eV for the cell shown
DOS at the Fermi energy: 0.00 states/eV per cell

Unit cell a=6.168 b=6.168 c=6.611 alpha=100.94 beta=100.94 gamma=69.80
Atoms (fractional coordinates):
Sm: 0.236 0.236 0.145
Sm: 0.764 0.764 0.855
S: 0.365 0.365 0.739
S: 0.635 0.635 0.261
Br: 0.025 0.025 0.755
Br: 0.975 0.975 0.245
O: 0.152 0.486 0.850
O: 0.295 0.295 0.518
O: 0.486 0.152 0.850
O: 0.488 0.488 0.233
O: 0.512 0.512 0.767
O: 0.514 0.848 0.150
O: 0.705 0.705 0.482
O: 0.848 0.514 0.150

***

Compound: RbTlS2
Source: the Alexandria database
Functional: PBE
Structure: optimized geometry

Computed properties:
total magnetic moment: 0.00 μB/cell
ΔE to the lowest computed polymorph: 40.7 meV per atom
DOS at the Fermi energy: 0.00 states/eV per cell

Unit cell a=5.769 b=5.165 c=5.165 alpha=60.19 beta=90.00 gamma=90.00
Atoms (fractional coordinates):
Rb: 0.000 0.000 0.000
Tl: 0.500 0.332 0.332
S: 0.317 0.666 0.666
S: 0.683 0.666 0.666

***

Compound: Cs2Zn3Bi5
Source: the Alexandria database
Functional: PBE
Structure: optimized geometry

Computed properties:
total magnetic moment: 0.00 μB/cell
energy of formation: -122 meV per atom
DOS at the Fermi energy: 10.23 states/eV per cell

Unit cell a=10.311 b=10.311 c=10.311 alpha=111.20 beta=84.56 gamma=137.16
Atoms (fractional coordinates):
Cs: 0.129 0.238 0.367
Cs: 0.371 0.738 0.109
Cs: 0.629 0.262 0.891
Cs: 0.871 0.762 0.633
Zn: 0.118 0.625 0.743
Zn: 0.250 0.250 0.000
Zn: 0.382 0.125 0.507
Zn: 0.618 0.875 0.493
Zn: 0.750 0.750 0.000
Zn: 0.882 0.375 0.257
Bi: 0.016 0.750 0.266
Bi: 0.112 0.875 0.986
Bi: 0.250 0.750 0.500
Bi: 0.388 0.375 0.763
Bi: 0.484 0.750 0.734
Bi: 0.516 0.250 0.266
Bi: 0.612 0.625 0.237
Bi: 0.750 0.250 0.500
Bi: 0.888 0.125 0.014
Bi: 0.984 0.250 0.734

***

Compound: Al3AgRu
Source: the Alexandria database
Functional: PBE
Structure: optimized geometry

Computed properties:
total magnetic moment: 0.00 μB/cell
ΔE to the lowest computed polymorph: 0.0 meV per atom
energy of formation: 61 meV per atom
DOS at the Fermi energy: 2.28 states/eV per cell

Unit cell a=4.687 b=4.687 c=4.687 alpha=90.00 beta=90.00 gamma=90.00
Atoms (fractional coordinates):
Al: 0.000 0.000 0.500
Al: 0.000 0.500 0.000
Al: 0.500 0.000 0.000
Ag: 0.500 0.500 0.500
Ru: 0.000 0.000 0.000

***

Compound: HgAuSe
Source: the Alexandria database
Functional: PBE
Structure: optimized geometry

Computed properties:
total magnetic moment: 0.00 μB/cell
ΔE to the lowest computed polymorph: 332.2 meV per atom
DOS at the Fermi energy: 0.36 states/eV per cell

Unit cell a=10.056 b=10.056 c=10.056 alpha=164.20 beta=164.20 gamma=22.42
Atoms (fractional coordinates):
Hg: 0.000 0.000 0.000
Au: 0.641 0.641 0.000
Se: 0.308 0.308 0.000

***

Compound: Tb12NiRu6
Source: the Alexandria database
Functional: PBE
Structure: optimized geometry

Computed properties:
total magnetic moment: 0.00 μB/cell
energy of formation: -186 meV per atom
DOS at the Fermi energy: 11.84 states/eV per cell

Unit cell a=8.075 b=8.075 c=8.075 alpha=99.76 beta=99.76 gamma=99.76
Atoms (fractional coordinates):
Tb: 0.050 0.918 0.677
Tb: 0.082 0.323 0.950
Tb: 0.179 0.568 0.418
Tb: 0.323 0.950 0.082
Tb: 0.418 0.179 0.568
Tb: 0.432 0.582 0.821
Tb: 0.568 0.418 0.179
Tb: 0.582 0.821 0.432
Tb: 0.677 0.050 0.918
Tb: 0.821 0.432 0.582
Tb: 0.918 0.677 0.050
Tb: 0.950 0.082 0.323
Ni: 0.000 0.000 0.000
Ru: 0.133 0.300 0.616
Ru: 0.300 0.616 0.133
Ru: 0.384 0.867 0.700
Ru: 0.616 0.133 0.300
Ru: 0.700 0.384 0.867
Ru: 0.867 0.700 0.384

***

Compound: Sm2DyPuP4
Source: the Alexandria database
Functional: PBE
Structure: optimized geometry

Computed properties:
total magnetic moment: 4.87 μB/cell
energy of formation: -1467 meV per atom
DOS at the Fermi energy: 12.03 states/eV per cell

Unit cell a=7.004 b=4.057 c=7.012 alpha=90.00 beta=109.48 gamma=90.00
Atoms (fractional coordinates):
Sm: 0.000 0.000 0.000
Sm: 0.500 0.500 0.000
Dy: 0.000 0.500 0.500
Pu: 0.500 0.000 0.500
P: 0.250 0.000 0.742
P: 0.256 0.500 0.260
P: 0.744 0.500 0.740
P: 0.750 0.000 0.258

***

no.,ρ (g cm⁻³)
1,6.618
2,3.241
3,7.601
4,5.745
5,9.732
6,7.991
7,3.584
8,3.376
9,4.809
10,5.476
11,4.292
12,6.357
13,8.864
14,4.720
15,4.401
16,7.477
17,4.676
18,10.500
19,8.530
20,7.346